No. 1
# SCAN SmTlAg2, PBEsol geometry
# crystal system	cubic
# raw total energy	-45.19	eV/atom
# formation enthalpy at 0 K	-1.2	eV/f.u.
data_SmTlAg2
_cell_length_a 6.982
_cell_length_b 6.982
_cell_length_c 6.982
_cell_angle_alpha 90.00
_cell_angle_beta 90.00
_cell_angle_gamma 90.00
_symmetry_space_group_name_H-M 'F m -3 m'
_symmetry_Int_Tables_number 225
_symmetry_space_group_name_Hall '-F 4 2 3'
loop_
_atom_site_label
_atom_site_type_symbol
_atom_site_fract_x
_atom_site_fract_y
_atom_site_fract_z
_atom_site_occupancy
Sm1 Sm 0.000 0.000 0.000 1
Tl1 Tl 0.000 0.000 0.500 1
Ag1 Ag 0.250 0.250 0.250 1

***

No. 2
# SCAN Sm2ZnAg, PBEsol geometry
# crystal system	cubic
# raw total energy	-33.80	eV/atom
# formation enthalpy at 0 K	-1.4	eV/f.u.
data_Sm2ZnAg
_cell_length_a 7.219
_cell_length_b 7.219
_cell_length_c 7.219
_cell_angle_alpha 90.00
_cell_angle_beta 90.00
_cell_angle_gamma 90.00
_symmetry_space_group_name_H-M 'F m -3 m'
_symmetry_Int_Tables_number 225
_symmetry_space_group_name_Hall '-F 4 2 3'
loop_
_atom_site_label
_atom_site_type_symbol
_atom_site_fract_x
_atom_site_fract_y
_atom_site_fract_z
_atom_site_occupancy
Sm1 Sm 0.250 0.250 0.250 1
Zn1 Zn 0.000 0.000 0.000 1
Ag1 Ag 0.000 0.000 0.500 1

***

No. 3
# SCAN SmZn2Ag, PBEsol geometry
# crystal system	cubic
# raw total energy	-26.03	eV/atom
# formation enthalpy at 0 K	-1.3	eV/f.u.
data_SmZn2Ag
_cell_length_a 6.644
_cell_length_b 6.644
_cell_length_c 6.644
_cell_angle_alpha 90.00
_cell_angle_beta 90.00
_cell_angle_gamma 90.00
_symmetry_space_group_name_H-M 'F m -3 m'
_symmetry_Int_Tables_number 225
_symmetry_space_group_name_Hall '-F 4 2 3'
loop_
_atom_site_label
_atom_site_type_symbol
_atom_site_fract_x
_atom_site_fract_y
_atom_site_fract_z
_atom_site_occupancy
Sm1 Sm 0.000 0.000 0.000 1
Zn1 Zn 0.250 0.250 0.250 1
Ag1 Ag 0.000 0.000 0.500 1

***

No. 4
# SCAN Sr2AgSn2, PBEsol geometry
# crystal system	tetragonal
# raw total energy	-30.08	eV/atom
# formation enthalpy at 0 K	-2.6	eV/f.u.
data_Sr2AgSn2
_cell_length_a 7.562
_cell_length_b 7.562
_cell_length_c 5.096
_cell_angle_alpha 90.00
_cell_angle_beta 90.00
_cell_angle_gamma 90.00
_symmetry_space_group_name_H-M 'P 4/m b m'
_symmetry_Int_Tables_number 127
_symmetry_space_group_name_Hall '-P 4 2ab'
loop_
_atom_site_label
_atom_site_type_symbol
_atom_site_fract_x
_atom_site_fract_y
_atom_site_fract_z
_atom_site_occupancy
Sr1 Sr 0.165 0.335 0.000 1
Ag1 Ag 0.000 0.000 0.500 1
Sn1 Sn 0.142 0.642 0.500 1

***

No. 5
# SCAN SrAg2Sn2, PBEsol geometry
# crystal system	tetragonal
# raw total energy	-31.78	eV/atom
# formation enthalpy at 0 K	-2.1	eV/f.u.
data_SrAg2Sn2
_cell_length_a 4.643
_cell_length_b 4.643
_cell_length_c 11.463
_cell_angle_alpha 90.00
_cell_angle_beta 90.00
_cell_angle_gamma 90.00
_symmetry_space_group_name_H-M 'I 4/m m m'
_symmetry_Int_Tables_number 139
_symmetry_space_group_name_Hall '-I 4 2'
loop_
_atom_site_label
_atom_site_type_symbol
_atom_site_fract_x
_atom_site_fract_y
_atom_site_fract_z
_atom_site_occupancy
Sr1 Sr 0.000 0.000 0.000 1
Ag1 Ag 0.000 0.500 0.250 1
Sn1 Sn 0.000 0.000 0.378 1

***

No. 6
# SCAN TbAgSn2, PBEsol geometry
# crystal system	tetragonal
# raw total energy	-37.98	eV/atom
# formation enthalpy at 0 K	-1.9	eV/f.u.
data_TbAgSn2
_cell_length_a 4.566
_cell_length_b 4.566
_cell_length_c 4.309
_cell_angle_alpha 90.00
_cell_angle_beta 90.00
_cell_angle_gamma 90.00
_symmetry_space_group_name_H-M 'P 4/m m m'
_symmetry_Int_Tables_number 123
_symmetry_space_group_name_Hall '-P 4 2'
loop_
_atom_site_label
_atom_site_type_symbol
_atom_site_fract_x
_atom_site_fract_y
_atom_site_fract_z
_atom_site_occupancy
Tb1 Tb 0.000 0.000 0.000 1
Ag1 Ag 0.500 0.500 0.000 1
Sn1 Sn 0.000 0.500 0.500 1

***

No. 7
# SCAN Y2TcAgSn, PBEsol geometry
# crystal system	tetragonal
# raw total energy	-31.54	eV/atom
# formation enthalpy at 0 K	0.3	eV/f.u.
data_Y2TcAgSn
_cell_length_a 5.192
_cell_length_b 5.192
_cell_length_c 5.052
_cell_angle_alpha 90.00
_cell_angle_beta 90.00
_cell_angle_gamma 90.00
_symmetry_space_group_name_H-M 'P 4/m m m'
_symmetry_Int_Tables_number 123
_symmetry_space_group_name_Hall '-P 4 2'
loop_
_atom_site_label
_atom_site_type_symbol
_atom_site_fract_x
_atom_site_fract_y
_atom_site_fract_z
_atom_site_occupancy
Y1 Y 0.000 0.500 0.000 1
Tc1 Tc 0.000 0.000 0.000 1
Ag1 Ag 0.500 0.500 0.500 1
Sn1 Sn 0.000 0.000 0.500 1

***

No. 8
# SCAN AgSnTe3, PBEsol geometry
# crystal system	cubic
# raw total energy	-35.40	eV/atom
# formation energy (no corrections)	0.4084	eV per atom
data_AgSnTe3
_cell_length_a 5.333
_cell_length_b 5.333
_cell_length_c 5.333
_cell_angle_alpha 90.00
_cell_angle_beta 90.00
_cell_angle_gamma 90.00
_symmetry_space_group_name_H-M 'P m -3 m'
_symmetry_Int_Tables_number 221
_symmetry_space_group_name_Hall '-P 4 2 3'
loop_
_atom_site_label
_atom_site_type_symbol
_atom_site_fract_x
_atom_site_fract_y
_atom_site_fract_z
_atom_site_occupancy
Ag1 Ag 0.000 0.000 0.000 1
Sn1 Sn 0.500 0.500 0.500 1
Te1 Te 0.000 0.000 0.500 1

***

No. 9
# SCAN TiAg3Sn, PBEsol geometry
# crystal system	cubic
# raw total energy	-28.38	eV/atom
# formation enthalpy at 0 K	4.2	eV/f.u.
data_TiAg3Sn
_cell_length_a 4.996
_cell_length_b 4.996
_cell_length_c 4.996
_cell_angle_alpha 90.00
_cell_angle_beta 90.00
_cell_angle_gamma 90.00
_symmetry_space_group_name_H-M 'P m -3 m'
_symmetry_Int_Tables_number 221
_symmetry_space_group_name_Hall '-P 4 2 3'
loop_
_atom_site_label
_atom_site_type_symbol
_atom_site_fract_x
_atom_site_fract_y
_atom_site_fract_z
_atom_site_occupancy
Ti1 Ti 0.000 0.000 0.000 1
Ag1 Ag 0.000 0.500 0.500 1
Sn1 Sn 0.500 0.500 0.500 1

***

No. 10
# SCAN TlAg2Sn2, PBEsol geometry
# crystal system	tetragonal
# raw total energy	-41.25	eV/atom
# formation enthalpy at 0 K	0.7	eV/f.u.
data_TlAg2Sn2
_cell_length_a 4.315
_cell_length_b 4.315
_cell_length_c 12.841
_cell_angle_alpha 90.00
_cell_angle_beta 90.00
_cell_angle_gamma 90.00
_symmetry_space_group_name_H-M 'I 4/m m m'
_symmetry_Int_Tables_number 139
_symmetry_space_group_name_Hall '-I 4 2'
loop_
_atom_site_label
_atom_site_type_symbol
_atom_site_fract_x
_atom_site_fract_y
_atom_site_fract_z
_atom_site_occupancy
Tl1 Tl 0.000 0.000 0.000 1
Ag1 Ag 0.000 0.500 0.250 1
Sn1 Sn 0.000 0.000 0.387 1

***

No. 11
# SCAN TlAg2Sn2, PBEsol geometry
# crystal system	tetragonal
# raw total energy	-41.24	eV/atom
# formation enthalpy at 0 K	0.7	eV/f.u.
data_TlAg2Sn2
_cell_length_a 8.686
_cell_length_b 8.686
_cell_length_c 3.042
_cell_angle_alpha 90.00
_cell_angle_beta 90.00
_cell_angle_gamma 90.00
_symmetry_space_group_name_H-M 'P 4/m b m'
_symmetry_Int_Tables_number 127
_symmetry_space_group_name_Hall '-P 4 2ab'
loop_
_atom_site_label
_atom_site_type_symbol
_atom_site_fract_x
_atom_site_fract_y
_atom_site_fract_z
_atom_site_occupancy
Tl1 Tl 0.000 0.000 0.000 1
Ag1 Ag 0.154 0.346 0.500 1
Sn1 Sn 0.141 0.641 0.000 1

***

No. 12
# SCAN YAg2SnW, PBEsol geometry
# crystal system	tetragonal
# raw total energy	-37.24	eV/atom
# formation enthalpy at 0 K	10.0	eV/f.u.
data_YAg2SnW
_cell_length_a 5.033
_cell_length_b 5.033
_cell_length_c 5.489
_cell_angle_alpha 90.00
_cell_angle_beta 90.00
_cell_angle_gamma 90.00
_symmetry_space_group_name_H-M 'P 4/m m m'
_symmetry_Int_Tables_number 123
_symmetry_space_group_name_Hall '-P 4 2'
loop_
_atom_site_label
_atom_site_type_symbol
_atom_site_fract_x
_atom_site_fract_y
_atom_site_fract_z
_atom_site_occupancy
Y1 Y 0.000 0.000 0.000 1
Ag1 Ag 0.000 0.500 0.000 1
Sn1 Sn 0.000 0.000 0.500 1
W1 W 0.500 0.500 0.500 1

***

No. 13
# SCAN Zn2Ag2Sn, PBEsol geometry
# crystal system	tetragonal
# raw total energy	-25.03	eV/atom
# formation enthalpy at 0 K	0.5	eV/f.u.
data_Zn2Ag2Sn
_cell_length_a 7.787
_cell_length_b 7.787
_cell_length_c 2.892
_cell_angle_alpha 90.00
_cell_angle_beta 90.00
_cell_angle_gamma 90.00
_symmetry_space_group_name_H-M 'P 4/m b m'
_symmetry_Int_Tables_number 127
_symmetry_space_group_name_Hall '-P 4 2ab'
loop_
_atom_site_label
_atom_site_type_symbol
_atom_site_fract_x
_atom_site_fract_y
_atom_site_fract_z
_atom_site_occupancy
Zn1 Zn 0.167 0.333 0.000 1
Ag1 Ag 0.130 0.630 0.500 1
Sn1 Sn 0.000 0.000 0.500 1

***

No. 14
# SCAN Zn2Ag2Sn, PBEsol geometry
# crystal system	tetragonal
# raw total energy	-25.02	eV/atom
# formation enthalpy at 0 K	0.6	eV/f.u.
data_Zn2Ag2Sn
_cell_length_a 3.659
_cell_length_b 3.659
_cell_length_c 13.533
_cell_angle_alpha 90.00
_cell_angle_beta 90.00
_cell_angle_gamma 90.00
_symmetry_space_group_name_H-M 'I 4/m m m'
_symmetry_Int_Tables_number 139
_symmetry_space_group_name_Hall '-I 4 2'
loop_
_atom_site_label
_atom_site_type_symbol
_atom_site_fract_x
_atom_site_fract_y
_atom_site_fract_z
_atom_site_occupancy
Zn1 Zn 0.000 0.500 0.250 1
Ag1 Ag 0.000 0.000 0.106 1
Sn1 Sn 0.000 0.000 0.500 1

***

No. 15
# SCAN SrAg, PBEsol geometry
# crystal system	orthorhombic
# raw total energy	-27.05	eV/atom
# formation enthalpy at 0 K	-0.5	eV/f.u.
data_SrAg
_cell_length_a 10.757
_cell_length_b 9.674
_cell_length_c 6.867
_cell_angle_alpha 90.00
_cell_angle_beta 90.00
_cell_angle_gamma 90.00
_symmetry_space_group_name_H-M 'P b c m'
_symmetry_Int_Tables_number 57
loop_
_symmetry_equiv_pos_as_xyz
'x,y,z'
'-x,-y,-z'
'-x,-y,z+1/2'
'x,y,-z+1/2'
'x,-y+1/2,-z'
'-x,y+1/2,z'
'-x,y+1/2,-z+1/2'
'x,-y+1/2,z+1/2'
loop_
_atom_site_label
_atom_site_type_symbol
_atom_site_fract_x
_atom_site_fract_y
_atom_site_fract_z
_atom_site_occupancy
Sr1 Sr 0.114 0.250 0.000 1
Sr2 Sr 0.205 0.629 0.250 1
Sr3 Sr 0.384 0.024 0.250 1
Ag1 Ag 0.078 0.547 0.750 1
Ag2 Ag 0.359 0.150 0.750 1
Ag3 Ag 0.452 0.750 0.000 1

***

No. 16
# SCAN SrAg5, PBEsol geometry
# crystal system	hexagonal
# raw total energy	-30.04	eV/atom
# formation enthalpy at 0 K	-1.1	eV/f.u.
data_SrAg5
_cell_length_a 5.6128
_cell_length_b 5.6128
_cell_length_c 4.5642
_cell_angle_alpha 90.00
_cell_angle_beta 90.00
_cell_angle_gamma 120.00
_symmetry_space_group_name_H-M 'P 6/m m m'
_symmetry_Int_Tables_number 191
_symmetry_space_group_name_Hall '-P 6 2'
loop_
_atom_site_label
_atom_site_type_symbol
_atom_site_fract_x
_atom_site_fract_y
_atom_site_fract_z
_atom_site_occupancy
Sr1 Sr 0.0000 0.0000 0.0000 1
Ag1 Ag 0.0000 0.5000 0.5000 1
Ag2 Ag 0.3333 0.6667 0.0000 1

***

No. 17
# SCAN SrAg2, PBEsol geometry
# crystal system	monoclinic
# raw total energy	-28.59	eV/atom
# formation enthalpy at 0 K	-0.7	eV/f.u.
data_SrAg2
_cell_length_a 11.211
_cell_length_b 4.637
_cell_length_c 6.094
_cell_angle_alpha 90.00
_cell_angle_beta 105.08
_cell_angle_gamma 90.00
_symmetry_space_group_name_H-M 'C 1 2/m 1'
_symmetry_Int_Tables_number 12
loop_
_symmetry_equiv_pos_as_xyz
'x,y,z'
'-x,-y,-z'
'-x,y,-z'
'x,-y,z'
'x+1/2,y+1/2,z'
'-x+1/2,-y+1/2,-z'
'-x+1/2,y+1/2,-z'
'x+1/2,-y+1/2,z'
loop_
_atom_site_label
_atom_site_type_symbol
_atom_site_fract_x
_atom_site_fract_y
_atom_site_fract_z
_atom_site_occupancy
Sr1 Sr 0.109 0.000 0.306 1
Ag1 Ag 0.097 0.500 0.697 1
Ag2 Ag 0.223 0.000 0.871 1

***

No. 18
# SCAN Sr8Ag, PBEsol geometry
# crystal system	tetragonal
# raw total energy	-23.25	eV/atom
# formation enthalpy at 0 K	0.3	eV/f.u.
data_Sr8Ag
_cell_length_a 13.640
_cell_length_b 13.640
_cell_length_c 4.402
_cell_angle_alpha 90.00
_cell_angle_beta 90.00
_cell_angle_gamma 90.00
_symmetry_space_group_name_H-M 'I 4/m m m'
_symmetry_Int_Tables_number 139
_symmetry_space_group_name_Hall '-I 4 2'
loop_
_atom_site_label
_atom_site_type_symbol
_atom_site_fract_x
_atom_site_fract_y
_atom_site_fract_z
_atom_site_occupancy
Sr1 Sr 0.000 0.335 0.000 1
Sr2 Sr 0.147 0.147 0.500 1
Ag1 Ag 0.000 0.000 0.000 1

***

No. 19
# SCAN Sr3Ag, PBEsol geometry
# crystal system	hexagonal
# raw total energy	-24.63	eV/atom
# formation enthalpy at 0 K	-0.3	eV/f.u.
data_Sr3Ag
_cell_length_a 4.2166
_cell_length_b 4.2166
_cell_length_c 11.1178
_cell_angle_alpha 90.00
_cell_angle_beta 90.00
_cell_angle_gamma 120.00
_symmetry_space_group_name_H-M 'P -6 m 2'
_symmetry_Int_Tables_number 187
_symmetry_space_group_name_Hall 'P -6 2'
loop_
_atom_site_label
_atom_site_type_symbol
_atom_site_fract_x
_atom_site_fract_y
_atom_site_fract_z
_atom_site_occupancy
Sr1 Sr 0.0000 0.0000 0.0000 1
Sr2 Sr 0.3333 0.6667 0.3146 1
Ag1 Ag 0.0000 0.0000 0.5000 1

***

No. 20
# SCAN SrAg2, PBEsol geometry
# crystal system	hexagonal
# raw total energy	-28.56	eV/atom
# formation enthalpy at 0 K	-0.7	eV/f.u.
data_SrAg2
_cell_length_a 5.8235
_cell_length_b 5.8235
_cell_length_c 18.7969
_cell_angle_alpha 90.00
_cell_angle_beta 90.00
_cell_angle_gamma 120.00
_symmetry_space_group_name_H-M 'P 63/m m c'
_symmetry_Int_Tables_number 194
_symmetry_space_group_name_Hall '-P 6c 2c'
loop_
_atom_site_label
_atom_site_type_symbol
_atom_site_fract_x
_atom_site_fract_y
_atom_site_fract_z
_atom_site_occupancy
Sr1 Sr 0.0000 0.0000 0.0958 1
Sr2 Sr 0.3333 0.6667 0.1558 1
Ag1 Ag 0.0000 0.5000 0.0000 1
Ag2 Ag 0.1682 0.3363 0.7500 1
Ag3 Ag 0.3333 0.6667 0.6230 1